Compound: Sm4Ge2Br5
Source: Alexandria via LeMat-Bulk
Functional: PBE-GGA
Structure: optimized geometry

Output
Fermi-level density of states: 4.4 states/eV/f.u.
Formation energy without anion corrections: -1.340 eV per atom

Lattice parameters (Å, degrees): 11.7800 11.7800 8.2128 96.42 96.42 20.26
With the nearest neighbours (Å) after each atom.
Element x y z (fractional)
Sm1 0.0150 0.0150 0.2840  4 Ge 3.02-3.05, 3 Br 3.02-3.11
Sm2 0.3378 0.3378 0.5495  1 Ge 2.76, 4 Br 2.94-2.97
Sm3 0.6622 0.6622 0.4505  1 Ge 2.76, 4 Br 2.94-2.97
Sm4 0.9850 0.9850 0.7160  4 Ge 3.02-3.05, 3 Br 3.02-3.11
Ge1 0.4478 0.4478 0.4527  1 Ge 2.46
Ge2 0.5522 0.5522 0.5473  1 Ge 2.46
Br1 0.1383 0.1383 0.1981  3 Sm 2.94-3.02
Br2 0.2167 0.2167 0.6772  3 Sm 2.97-3.11
Br3 0.5000 0.5000 0.0000  4 Sm 3.11
Br4 0.7833 0.7833 0.3228  3 Sm 2.97-3.11
Br5 0.8617 0.8617 0.8019  3 Sm 2.94-3.02